[1]
# Cs2SrCl3F PBE optimized geometry
# E_form (uncorrected): -2.48 eV/atom
# DOS at the Fermi energy: 0.00 states/eV/f.u.
# theoretical density: 3.19 g/cm³
# M_tot: 0.03 μB/atom
# final energy: -4.023 eV per atom
data_Cs2SrCl3F
_chemical_formula_sum 'Cs4 Sr2 Cl6 F2'
_cell_length_a 4.744
_cell_length_b 5.749
_cell_length_c 18.252
_cell_angle_alpha 90.00
_cell_angle_beta 90.00
_cell_angle_gamma 90.00
_symmetry_space_group_name_H-M 'I m m m'
_symmetry_Int_Tables_number 71
_symmetry_space_group_name_Hall '-I 2 2'
loop_
_atom_site_label
_atom_site_type_symbol
_atom_site_fract_x
_atom_site_fract_y
_atom_site_fract_z
Cs1 Cs 0.000 0.000 0.148
Sr1 Sr 0.000 0.000 0.500
Cl1 Cl 0.000 0.000 0.338
Cl2 Cl 0.000 0.500 0.500
F1 F 0.000 0.500 0.000

[2]
# Ac5In2Ge5 PBE optimized geometry
# DOS at the Fermi energy: 5.31 states/eV/f.u.
# theoretical density: 7.63 g/cm³
# M_tot: 0.00 μB/atom
# final energy: -4.615 eV per atom
# ΔH_f (0 K): -0.52 eV per atom
data_Ac5In2Ge5
_chemical_formula_sum 'Ac10 In4 Ge10'
_cell_length_a 14.863
_cell_length_b 4.522
_cell_length_c 12.999
_cell_angle_alpha 90.00
_cell_angle_beta 120.53
_cell_angle_gamma 90.00
_symmetry_space_group_name_H-M 'C 1 2/m 1'
_symmetry_Int_Tables_number 12
loop_
_symmetry_equiv_pos_as_xyz
'x,y,z'
'-x,-y,-z'
'-x,y,-z'
'x,-y,z'
'x+1/2,y+1/2,z'
'-x+1/2,-y+1/2,-z'
'-x+1/2,y+1/2,-z'
'x+1/2,-y+1/2,z'
loop_
_atom_site_label
_atom_site_type_symbol
_atom_site_fract_x
_atom_site_fract_y
_atom_site_fract_z
Ac1 Ac 0.000 0.000 0.000
Ac2 Ac 0.152 0.000 0.508
Ac3 Ac 0.187 0.000 0.819
In1 In 0.072 0.500 0.268
Ge1 Ge 0.000 0.500 0.500
Ge2 Ge 0.116 0.500 0.933
Ge3 Ge 0.199 0.000 0.284

[3]
# AlFeS2N PBE optimized geometry
# E_form (uncorrected): 0.49 eV/atom
# DOS at the Fermi energy: 5.06 states/eV/f.u.
# theoretical density: 3.30 g/cm³
# M_tot: 1.15 μB/atom
# final energy: -5.265 eV per atom
data_AlFeS2N
_chemical_formula_sum 'Al1 Fe1 S2 N1'
_cell_length_a 4.743
_cell_length_b 4.743
_cell_length_c 3.603
_cell_angle_alpha 90.00
_cell_angle_beta 90.00
_cell_angle_gamma 90.00
_symmetry_space_group_name_H-M 'P 4/m m m'
_symmetry_Int_Tables_number 123
_symmetry_space_group_name_Hall '-P 4 2'
loop_
_atom_site_label
_atom_site_type_symbol
_atom_site_fract_x
_atom_site_fract_y
_atom_site_fract_z
Al1 Al 0.000 0.000 0.000
Fe1 Fe 0.500 0.500 0.500
S1 S 0.000 0.500 0.000
N1 N 0.000 0.000 0.500

> Number 1 is which compound?

Cs2SrCl3F